VASP calculation (PBE) on a geometry-optimized KP2Pb structure.

Cell lengths 8.747, 10.278, 5.779 Å; angles 90.00, 90.00, 90.00 degrees
Atoms (fractional coordinates):
1 K 0.178 0.064 0.250
2 K 0.178 0.436 0.750
3 K 0.822 0.564 0.250
4 K 0.822 0.936 0.750
5 P 0.120 0.747 0.250
6 P 0.120 0.753 0.750
7 P 0.461 0.017 0.750
8 P 0.461 0.483 0.250
9 P 0.539 0.517 0.750
10 P 0.539 0.983 0.250
11 P 0.880 0.247 0.250
12 P 0.880 0.253 0.750
13 Pb 0.404 0.750 0.000
14 Pb 0.404 0.750 0.500
15 Pb 0.596 0.250 0.000
16 Pb 0.596 0.250 0.500

Values from the calculation:
total magnetization: 0.000 μB/cell
E: -3.59 eV per atom